[1]
VASP calculation (PBE) on crystalline Ho2Ga2CuNi5 at its relaxed geometry.

Values from the calculation:
- DFT formation energy (kcal/mol of atoms) = -6.56

Cell: 3.377 9.462 9.462 Å, 90.00 90.00 90.00°
Positions (direct):
Ni1 0.500 0.196 0.055
Cu1 0.000 0.000 0.000
Ho1 0.000 0.675 0.175
Ni2 0.500 0.445 0.304
Ni3 0.500 0.696 0.445
Ho2 0.000 0.825 0.675
Ni4 0.500 0.000 0.500
Ni5 0.500 0.055 0.804
Ni6 0.500 0.304 0.555
Ni7 0.500 0.804 0.945
Ga1 0.000 0.124 0.624
Cu2 0.000 0.500 0.500
Ga2 0.000 0.624 0.876
Ni8 0.500 0.945 0.196
Ga3 0.000 0.876 0.376
Ni9 0.500 0.500 0.000
Ho3 0.000 0.175 0.325
Ga4 0.000 0.376 0.124
Ni10 0.500 0.555 0.696
Ho4 0.000 0.325 0.825

=====

[2]
VASP calculation (PBE) on crystalline HoTlP2O6 at its relaxed geometry.

Values from the calculation:
- energy relative to the elements, uncorrected (eV per atom) = -2.37

Cell: 6.745 6.745 10.861 Å, 111.26 111.26 110.62°
Positions (direct):
O1 0.773 0.614 0.512
P1 0.695 0.932 0.185
O2 0.786 0.713 0.766
O3 0.214 0.287 0.234
Tl1 0.168 0.832 0.250
O4 0.032 0.525 0.702
O5 0.713 0.786 0.266
P2 0.068 0.305 0.315
Ho1 0.585 0.415 0.250
P3 0.932 0.695 0.685
Tl2 0.832 0.168 0.750
Ho2 0.415 0.585 0.750
O6 0.968 0.475 0.298
O7 0.386 0.227 0.988
O8 0.227 0.386 0.488
O9 0.475 0.968 0.798
O10 0.287 0.214 0.734
P4 0.305 0.068 0.815
O11 0.614 0.773 0.012
O12 0.525 0.032 0.202

=====

[3]
VASP calculation (PBE) on crystalline TcTePt2O at its relaxed geometry.

Values from the calculation:
- energy relative to the elements, uncorrected (eV per atom) = 0.40

Cell: 4.677 3.805 4.677 Å, 90.00 90.00 90.00°
Positions (direct):
Pt1 0.500 0.000 0.000
Pt2 0.000 0.000 0.500
O1 0.000 0.000 0.000
Tc1 0.000 0.500 0.000
Te1 0.500 0.500 0.500

=====

[4]
VASP calculation (PBE) on crystalline Tb3ThIn at its relaxed geometry.

Values from the calculation:
- relative energy among the computed polymorphs (meV per atom) = 74
- DFT formation energy (kcal/mol of atoms) = -1.32

Cell: 5.531 9.617 11.630 Å, 92.05 90.00 90.00°
Positions (direct):
Th1 0.500 0.833 0.046
Tb1 0.000 0.896 0.235
In1 0.999 0.614 0.091
Tb2 0.500 0.235 0.642
Tb3 0.000 0.765 0.858
Tb4 0.999 0.534 0.356
Th2 0.000 0.833 0.546
Tb5 0.501 0.534 0.856
Tb6 0.500 0.765 0.358
In2 0.499 0.386 0.409
Tb7 0.500 0.104 0.265
In3 0.501 0.614 0.591
Th3 0.000 0.167 0.454
Th4 0.500 0.167 0.954
Tb8 0.499 0.466 0.144
Tb9 0.500 0.896 0.735
In4 0.001 0.386 0.909
Tb10 0.000 0.104 0.765
Tb11 0.001 0.466 0.644
Tb12 0.000 0.235 0.142

=====

[5]
VASP calculation (PBE) on crystalline ReSi2Pd at its relaxed geometry.

Values from the calculation:
- relative energy among the computed polymorphs (meV per atom) = 711
- energy relative to the elements, uncorrected (eV per atom) = 0.45

Cell: 5.622 5.622 6.447 Å, 64.15 64.15 90.00°
Positions (direct):
Si1 0.628 0.125 0.250
Re1 0.750 0.250 0.500
Si2 0.122 0.625 0.250
Pd1 0.500 0.500 0.000
Re2 0.000 0.000 0.000
Pd2 0.250 0.750 0.500
Si3 0.375 0.372 0.750
Si4 0.875 0.878 0.750

=====

[6]
VASP calculation (PBE) on crystalline Ho3TlIn at its relaxed geometry.

Values from the calculation:
- relative energy among the computed polymorphs (meV per atom) = 152
- DFT formation energy (kcal/mol of atoms) = -3.91

Cell: 9.215 8.459 8.459 Å, 79.33 69.38 69.38°
Positions (direct):
Ho1 0.382 0.275 0.962
Tl1 0.318 0.569 0.169
In1 0.750 0.036 0.964
In2 0.750 0.641 0.359
Tl2 0.818 0.169 0.569
Ho2 0.882 0.962 0.275
Ho3 0.084 0.342 0.350
Ho4 0.957 0.327 0.007
Ho5 0.457 0.007 0.327
In3 0.250 0.964 0.036
Ho6 0.916 0.658 0.650
Tl3 0.182 0.831 0.431
Ho7 0.043 0.673 0.993
Ho8 0.543 0.993 0.673
Ho9 0.618 0.725 0.038
Ho10 0.118 0.038 0.725
Ho11 0.584 0.350 0.342
Tl4 0.682 0.431 0.831
In4 0.250 0.359 0.641
Ho12 0.416 0.650 0.658

=====

[7]
VASP calculation (PBE) on crystalline ErPu2Pa at its relaxed geometry.

Values from the calculation:
- relative energy among the computed polymorphs (meV per atom) = 121
- DFT formation energy (kcal/mol of atoms) = 5.27

Cell: 4.548 4.781 4.781 Å, 90.00 90.00 90.00°
Site moments in Bohr magnetons follow the coordinates.
Positions (direct):
Pa1 0.500 0.500 0.500  0.36
Er1 0.500 0.000 0.000  0.12
Pu1 0.000 0.500 0.000  5.19
Pu2 0.000 0.000 0.500  5.19

=====

[8]
VASP calculation (PBE) on crystalline CePrSiIr at its relaxed geometry.

Values from the calculation:
- energy relative to the elements, uncorrected (eV per atom) = -0.77

Cell: 4.166 4.059 5.973 Å, 90.00 110.41 90.00°
Site moments in Bohr magnetons follow the coordinates.
Positions (direct):
Si1 0.564 0.500 0.128  0.00
Ce1 0.867 0.500 0.734  0.19
Pr1 0.147 0.000 0.294  0.01
Ir1 0.422 0.000 0.844  -0.01